BeTe2WS | the Alexandria database | PBE-GGA | relaxed; ΔE_f (raw) = 897 meV per atom; mass density = 6621 kg/m³; VASP energy = -4.521 eV per atom; total magnetic moment = 0.000 μB per formula unit
1.0
-0.6264 3.9998 -3.2353
-3.5358 1.3777 2.3878
3.1243 2.8851 2.9619
S Te W Be
1 2 1 1
direct
0.5000 0.5000 0.5000
0.0000 0.0000 0.5000
0.5000 0.0000 0.0000
0.0000 0.0000 0.0000
0.0000 0.5000 0.0000



Y2BeTeS | the Alexandria database | PBE-GGA | relaxed; ΔE_f (raw) = -656 meV per atom; mass density = 5187 kg/m³; VASP energy = -5.441 eV per atom; total magnetic moment = 0.000 μB per formula unit
1.0
5.2987 0.0000 0.0000
0.0000 3.9509 0.0000
0.0000 0.0000 5.2987
Y Te S Be
2 1 1 1
direct
0.0000 0.0000 0.5000
0.5000 0.0000 0.0000
0.5000 0.5000 0.5000
0.0000 0.5000 0.0000
0.0000 0.0000 0.0000



BeZnTeS | the Alexandria database | PBE-GGA | relaxed; ΔE_f (raw) = -381 meV per atom; mass density = 4921 kg/m³; VASP energy = -3.449 eV per atom; total magnetic moment = 0.000 μB per formula unit
1.0
-3.2238 -1.7942 -0.7433
-0.2803 -4.0986 11.1086
-0.7685 3.4533 1.2547
Zn Be Te S
2 2 2 2
direct
0.5000 0.1600 0.0000
0.5000 0.6600 0.5000
0.0000 0.3867 0.5000
0.0000 0.8867 0.0000
0.0000 0.0214 0.5000
0.0000 0.5214 0.0000
0.5000 0.2931 0.5000
0.5000 0.7931 0.0000



BeZnTeS | the Alexandria database | PBE-GGA | relaxed; ΔE_f (raw) = 30 meV per atom; mass density = 3251 kg/m³; VASP energy = -3.038 eV per atom; total magnetic moment = 0.000 μB per formula unit
1.0
4.0044 0.0086 0.0029
1.2686 5.3989 -0.0069
0.3731 0.7338 5.5318
Te S Be Zn
1 1 1 1
direct
0.2913 0.3814 0.6111
0.1490 0.9650 0.6008
0.8217 0.1849 0.8244
0.8963 0.1024 0.2173



Please write out number 2 again, unchanged.
Y2BeTeS | the Alexandria database | PBE-GGA | relaxed; ΔE_f (raw) = -656 meV per atom; mass density = 5187 kg/m³; VASP energy = -5.441 eV per atom; total magnetic moment = 0.000 μB per formula unit
1.0
5.2987 0.0000 0.0000
0.0000 3.9509 0.0000
0.0000 0.0000 5.2987
Y Te S Be
2 1 1 1
direct
0.0000 0.0000 0.5000
0.5000 0.0000 0.0000
0.5000 0.5000 0.5000
0.0000 0.5000 0.0000
0.0000 0.0000 0.0000